First-principles (PBE) data for an optimized crystal structure of LaSiTc, as listed in Alexandria via LeMat-Bulk.

Structure (POSCAR):
```
LaSiTc
1.0
4.6867 0.0000 0.0000
2.3434 4.0588 0.0000
2.3434 1.3529 3.8267
La Si Tc
1 1 1
Direct
0.7500 0.7500 0.7500 La
0.0000 0.0000 0.0000 Si
0.5000 0.5000 0.5000 Tc
```

The calculation puts the calculated total energy at -5.805 eV per atom.